Entry from the Alexandria database: crystalline CaNp2Tl3Te6 at its relaxed geometry (PBE-GGA).

Cell: 7.7885 7.7885 8.5560 Å, 98.71 98.71 119.93°
Each line ends with the local moment (μB).
Sites, in units of the cell vectors:
Np: 0.6673 0.3327 0.0000  3.78
Te: 0.5824 0.9278 0.7842  -0.09
Tl: 0.1633 0.8367 0.5000  -0.01
Te: 0.9278 0.5824 0.7842  -0.09
Te: 0.2747 0.2747 0.7885  -0.09
Tl: 0.5000 0.5000 0.5000  -0.01
Te: 0.4176 0.0722 0.2158  -0.09
Np: 0.3327 0.6673 0.0000  3.78
Tl: 0.8367 0.1633 0.5000  -0.01
Te: 0.7253 0.7253 0.2115  -0.09
Ca: 0.0000 0.0000 0.0000  -0.01
Te: 0.0722 0.4176 0.2158  -0.09

***

Entry from the Alexandria database: crystalline ThTePdN at its relaxed geometry (PBE-GGA).

Cell: 3.5273 3.5273 7.3558 Å, 103.87 103.87 90.00°
Sites, in units of the cell vectors:
Te: 0.9022 0.9022 0.8044
N: 0.1475 0.1475 0.2950
Th: 0.6554 0.6554 0.3109
Pd: 0.3070 0.3070 0.6140

***

no.,formation energy (no corrections) (eV/atom)
1,-0.71
2,-0.82